Entry 1:
Here is a relaxed structure of PmHfSc from Alexandria via LeMat-Bulk. Energies are from GGA-PBE.

Output
symmetry: Amm2, No. 38
DFT total energy: -0.5050 Ry/atom
ΔE to the lowest computed polymorph: 0.08 eV/f.u.
theoretical density: 7.7 Mg/m³
energy of formation from the pure elements: 0.141 eV/atom

Lattice parameters (Å, degrees): 3.3543 3.3541 16.2380 90.00 90.00 120.00
Closest atoms and distances in Å follow each position.
Fractional coordinates of all 6 atoms:
Sc1 0.2773 0.5545 0.0000  6 Hf 3.15, 6 Sc 3.35
Sc2 0.6119 0.2239 0.5000  6 Sc 3.35, 6 Pm 3.47
Hf1 0.6108 0.2216 0.8470  3 Sc 3.15, 6 Hf 3.35, 3 Pm 3.37
Hf2 0.6108 0.2216 0.1530  3 Sc 3.15, 6 Hf 3.35, 3 Pm 3.37
Pm1 0.2779 0.5558 0.3226  6 Pm 3.35, 3 Hf 3.37, 3 Sc 3.47
Pm2 0.2779 0.5558 0.6774  6 Pm 3.35, 3 Hf 3.37, 3 Sc 3.47

***

Entry 2:
Here is a relaxed structure of NdScBi from Alexandria via LeMat-Bulk. Energies are from GGA-PBE.

Output
symmetry: I4mm, No. 107
DFT total energy: -0.3985 Ry/atom
theoretical density: 7.6 Mg/m³
energy of formation from the pure elements: -0.429 eV/atom

Lattice parameters (Å, degrees): 3.9734 3.9734 6.1672 108.79 108.79 90.00
Closest atoms and distances in Å follow each position.
Fractional coordinates of all 3 atoms:
Sc1 0.2617 0.2617 0.5235  4 Bi 3.14, 5 Nd 3.39-3.51
Nd1 0.9532 0.9532 0.9065  5 Sc 3.39-3.51, 5 Bi 3.45-3.49
Bi1 0.6350 0.6350 0.2701  4 Sc 3.14, 5 Nd 3.45-3.49

***

Entry 3:
Here is a relaxed structure of Li3ZnNi from Alexandria via LeMat-Bulk. Energies are from GGA-PBE.

Output
symmetry: Amm2, No. 38
DFT total energy: -0.1823 Ry/atom
ΔE to the lowest computed polymorph: 0.25 eV/f.u.
theoretical density: 3.0 Mg/m³
energy of formation from the pure elements: 0.078 eV/atom

Lattice parameters (Å, degrees): 2.5743 4.5298 7.1774 108.39 90.00 90.00
Closest atoms and distances in Å follow each position.
Fractional coordinates of all 5 atoms:
Li1 0.5000 0.3532 0.2041  2 Li 2.25-2.27, 1 Ni 2.40
Li2 0.5000 0.8509 0.2041  2 Li 2.25-2.27, 1 Ni 2.40
Li3 0.0000 0.7879 0.5759  2 Ni 2.52, 2 Li 2.57
Zn1 0.0000 0.4331 0.8662  2 Zn 2.57, 4 Ni 2.61, 4 Li 2.87
Ni1 0.5000 0.9468 0.8936  4 Li 2.40-2.52, 2 Ni 2.57, 4 Zn 2.61

***

Entry 4:
Here is a relaxed structure of Cr2RhCl from Alexandria via LeMat-Bulk. Energies are from GGA-PBE.

Output
symmetry: R3m, No. 160
DFT total energy: -0.5078 Ry/atom
ΔE to the lowest computed polymorph: 0.40 eV/f.u.
formation energy (no corrections): 0.202 eV/atom
theoretical density: 6.9 Mg/m³

Lattice parameters (Å, degrees): 9.0325 9.0325 9.0325 17.58 17.58 17.58
Closest atoms and distances in Å follow each position.
Fractional coordinates of all 4 atoms:
Cr1 0.0013 0.0013 0.0013  3 Cl 2.28
Cr2 0.2542 0.2542 0.2542  3 Rh 2.49, 9 Cr 2.67-2.76
Rh1 0.5157 0.5157 0.5157  3 Cr 2.49, 6 Rh 2.76
Cl1 0.7288 0.7288 0.7288  3 Cr 2.28

***

Entry 5:
Here is a relaxed structure of CrAuCl2 from Alexandria via LeMat-Bulk. Energies are from GGA-PBE.

Output
symmetry: P4/mmm, No. 123
DFT total energy: -0.3089 Ry/atom
ΔE to the lowest computed polymorph: 1.42 eV/f.u.
formation energy (no corrections): -0.054 eV/atom
theoretical density: 5.6 Mg/m³

Lattice parameters (Å, degrees): 3.0512 3.0512 10.1820 90.00 90.00 90.00
Closest atoms and distances in Å follow each position.
Fractional coordinates of all 4 atoms:
Cr1 0.5000 0.5000 0.2500  8 Cl 2.64
Au1 0.5000 0.5000 0.7500  4 Au 3.05
Cl1 0.0000 0.0000 0.1012  4 Cr 2.64
Cl2 0.0000 0.0000 0.3988  4 Cr 2.64

***

Entry 6:
Here is a relaxed structure of Dy2Pt from Alexandria via LeMat-Bulk. Energies are from GGA-PBE.

Output
symmetry: Pnma, No. 62
DFT total energy: -0.4435 Ry/atom
theoretical density: 11.5 Mg/m³
energy of formation from the pure elements: -0.953 eV/atom

Lattice parameters (Å, degrees): 4.7712 7.1594 8.8058 90.00 90.00 90.00
Closest atoms and distances in Å follow each position.
Fractional coordinates of all 12 atoms:
Pt1 0.2500 0.7588 0.4075  7 Dy 2.83-3.05
Pt2 0.7500 0.2412 0.5925  7 Dy 2.83-3.05
Pt3 0.2500 0.2588 0.0925  7 Dy 2.83-3.05
Pt4 0.7500 0.7412 0.9075  7 Dy 2.83-3.05
Dy1 0.2500 0.4910 0.8329  3 Pt 2.83-3.05
Dy2 0.7500 0.5090 0.1671  3 Pt 2.83-3.05
Dy3 0.2500 0.9910 0.6671  3 Pt 2.83-3.05
Dy4 0.7500 0.0090 0.3329  3 Pt 2.83-3.05
Dy5 0.7500 0.1439 0.9187  4 Pt 2.88-2.96
Dy6 0.2500 0.8561 0.0813  4 Pt 2.88-2.96
Dy7 0.7500 0.6439 0.5813  4 Pt 2.88-2.96
Dy8 0.2500 0.3561 0.4187  4 Pt 2.88-2.96

***

Entry 7:
Here is a relaxed structure of CsSI from Alexandria via LeMat-Bulk. Energies are from GGA-PBE.

Output
symmetry: C2/m, No. 12
DFT total energy: -0.2196 Ry/atom
ΔE to the lowest computed polymorph: 0.00 eV/f.u.
formation energy (no corrections): -0.810 eV/atom
theoretical density: 1.7 Mg/m³

Lattice parameters (Å, degrees): 5.4491 5.4491 18.8924 84.27 84.27 90.02
Closest atoms and distances in Å follow each position.
Fractional coordinates of all 6 atoms:
Cs1 0.7865 0.7865 0.8966  5 I 3.85-3.88
Cs2 0.2135 0.2135 0.1034  5 I 3.85-3.88
S1 0.9793 0.9793 0.5508  1 S 1.90
S2 0.0207 0.0207 0.4492  1 S 1.90
I1 0.2866 0.2866 0.8962  5 Cs 3.85-3.88
I2 0.7134 0.7134 0.1038  5 Cs 3.85-3.88

***

Entry 8:
Here is a relaxed structure of La2In2Rh5Pb from Alexandria via LeMat-Bulk. Energies are from GGA-PBE.

Output
symmetry: P4/mbm, No. 127
DFT total energy: -0.4416 Ry/atom
theoretical density: 10.0 Mg/m³
energy of formation from the pure elements: -0.429 eV/atom

Lattice parameters (Å, degrees): 3.8089 10.3682 10.3682 90.00 90.00 90.00
Closest atoms and distances in Å follow each position.
Fractional coordinates of all 20 atoms:
La1 0.0000 0.6733 0.1733  3 In 2.97-3.13, 2 Rh 3.18
La2 0.0000 0.3267 0.8267  3 In 2.97-3.13, 2 Rh 3.18
La3 0.0000 0.1733 0.3267  3 In 2.97-3.13, 2 Rh 3.18
La4 0.0000 0.8267 0.6733  3 In 2.97-3.13, 2 Rh 3.18
In1 0.0000 0.1243 0.6243  6 Rh 2.64-2.69
In2 0.0000 0.8757 0.3757  6 Rh 2.64-2.69
In3 0.0000 0.6243 0.8757  6 Rh 2.64-2.69
In4 0.0000 0.3757 0.1243  6 Rh 2.64-2.69
Rh1 0.5000 0.2020 0.0653  2 In 2.69, 2 Pb 2.91
Rh2 0.5000 0.7980 0.9347  2 In 2.69, 2 Pb 2.91
Rh3 0.5000 0.0653 0.7980  2 In 2.69, 2 Pb 2.91
Rh4 0.5000 0.7020 0.4347  2 In 2.69, 2 Pb 2.91
Rh5 0.5000 0.9347 0.2020  2 In 2.69, 2 Pb 2.91
Rh6 0.5000 0.2980 0.5653  2 In 2.69, 2 Pb 2.91
Rh7 0.5000 0.5653 0.7020  2 In 2.69, 2 Pb 2.91
Rh8 0.5000 0.4347 0.2980  2 In 2.69, 2 Pb 2.91
Rh9 0.5000 0.5000 0.0000  4 In 2.64
Rh10 0.5000 0.0000 0.5000  4 In 2.64
Pb1 0.0000 0.0000 0.0000  8 Rh 2.91
Pb2 0.0000 0.5000 0.5000  8 Rh 2.91